Material: Y4OsPd2
Method: DFT, PBE-GGA
State: relaxed

Unit cell a=4.8941 b=4.8941 c=8.5424 alpha=73.35 beta=73.35 gamma=60.00
Closest atoms and distances in Å follow each position.
Sites, in units of the cell vectors:
Y  0.1218  0.1218  0.6346  1 Os 2.95, 4 Pd 2.97-3.08
Y  0.6271  0.6271  0.1186  3 Os 2.98, 4 Pd 2.99-3.02
Y  0.8782  0.8782  0.3654  1 Os 2.95, 4 Pd 2.97-3.08
Y  0.3729  0.3729  0.8814  3 Os 2.98, 4 Pd 2.99-3.02
Pd  0.2493  0.2493  0.2522  8 Y 2.97-3.08
Pd  0.7507  0.7507  0.7478  8 Y 2.97-3.08
Os  0.0000  0.0000  0.0000  8 Y 2.95-2.98

Computed properties:
space group: No. 166
uncorrected energy: -7.3287 eV/atom
crystal system: trigonal
calculated formation energy: -0.55 eV/atom
mass density: 7.53 Mg/m³